Entry 1:
Here is a relaxed Ca3DyTh2As6 crystal from Alexandria. Energies are from PBE.

abc: 7.382 7.382 7.325
angles: 99.67 99.67 120.01
Fractional positions:
As1 0.411 0.080 0.240
As2 0.920 0.589 0.760
As3 0.750 0.750 0.241
Dy1 0.000 0.000 0.000
As4 0.250 0.250 0.759
As5 0.589 0.920 0.760
Ca1 0.167 0.833 0.500
Th1 0.667 0.333 0.000
Th2 0.333 0.667 0.000
Ca2 0.833 0.167 0.500
Ca3 0.500 0.500 0.500
As6 0.080 0.411 0.240

Output
Formation enthalpy at 0 K ... -1300 meV per atom
Total energy ... -0.211 hartree per atom


Entry 2:
Here is a relaxed TbNdCdAg crystal from Alexandria. Energies are from PBE.

abc: 5.313 5.313 5.313
angles: 60.00 60.00 60.00
Fractional positions:
Tb1 0.500 0.500 0.500
Nd1 0.000 0.000 0.000
Cd1 0.750 0.750 0.750
Ag1 0.250 0.250 0.250

Output
Formation enthalpy at 0 K ... -285 meV per atom
Polymorph energy (0 for the lowest one) ... 13.5 meV per atom
Total energy ... -0.131 hartree per atom


Entry 3:
Here is a relaxed PSeBr2 crystal from Alexandria. Energies are from PBE.

abc: 7.841 7.841 7.841
angles: 155.65 143.07 44.73
Fractional positions:
Se1 0.500 0.000 0.500
Br1 0.141 0.141 0.000
P1 0.000 0.500 0.500
Br2 0.859 0.859 0.000

Output
Polymorph energy (0 for the lowest one) ... 493.7 meV per atom
Total energy ... -0.096 hartree per atom
Energy relative to the elements, uncorrected ... 0.44 eV/atom


> Look up the total energy of the first one.

-0.211 hartree per atom


> Among the records above, which one has the highest total energy?

PSeBr2


> Which formula does entry 1 have?

Ca3DyTh2As6


> Which of these has the highest total energy?

PSeBr2